Entry from Alexandria via LeMat-Bulk: a relaxed structure of Mg5ScRh6 (GGA-PBE).

Lattice parameters (Å, degrees): 4.4253 6.3133 6.9755 90.00 108.38 90.00
Element x y z (fractional)
Sc  0.0000  0.0000  0.0000
Mg  0.6663  0.5000  0.3336
Mg  0.3324  0.0000  0.6637
Mg  0.0000  0.5000  0.0000
Mg  0.6676  0.0000  0.3363
Mg  0.3337  0.5000  0.6664
Rh  0.8338  0.7494  0.6665
Rh  0.8338  0.2506  0.6665
Rh  0.5000  0.2515  0.0000
Rh  0.5000  0.7485  0.0000
Rh  0.1662  0.7494  0.3335
Rh  0.1662  0.2506  0.3335

Results
The density of states at the Fermi level comes out at 0.579 states/eV per atom. As for the spin magnetization: 0.00 Bohr magnetons per cell. As for the space-group type: P2/m. Its formation enthalpy at 0 K is -0.6003 eV/atom.

Entry from Alexandria via LeMat-Bulk: a relaxed structure of LaYBi (GGA-PBE).

Lattice parameters (Å, degrees): 7.5232 7.5232 7.5232 89.99 89.99 89.99
Last column: magnetic moment on the atom in μB.
Element x y z (fractional)
Bi  0.7499  0.7499  0.7499  0.00
Bi  0.7501  0.2501  0.2499  0.00
Bi  0.2499  0.7501  0.2501  0.00
Bi  0.2501  0.2499  0.7501  0.00
La  0.4999  0.4999  0.4999  0.04
La  0.0001  0.5001  0.9999  -0.01
La  0.9999  0.0001  0.5001  -0.01
La  0.5001  0.9999  0.0001  -0.01
Y  0.0000  0.0000  0.0000  0.17
Y  0.5000  0.0000  0.5000  -0.05
Y  0.5000  0.5000  0.0000  -0.05
Y  0.0000  0.5000  0.5000  -0.05

Results
The density of states at the Fermi level comes out at 1.063 states/eV per atom. As for the spin magnetization: 0.03 Bohr magnetons per cell. Its formation enthalpy at 0 K is -0.4165 eV/atom.

Entry from Alexandria via LeMat-Bulk: a relaxed structure of Na3VNi (GGA-PBE).

Lattice parameters (Å, degrees): 5.2319 5.2319 5.2319 90.00 90.00 90.00
Last column: magnetic moment on the atom in μB.
Element x y z (fractional)
Ni  0.0000  0.0000  0.0000  -0.16
V  0.5000  0.5000  0.5000  3.18
Na  0.0000  0.5000  0.0000  0.01
Na  0.0000  0.0000  0.5000  0.01
Na  0.5000  0.0000  0.0000  0.01

Results
The density of states at the Fermi level comes out at 2.498 states/eV per atom. As for the spin magnetization: 4.24 Bohr magnetons per cell. As for the space-group type: Pm-3m. Its formation enthalpy at 0 K is 1.1278 eV/atom. The value obtained for the distance to the lowest polymorph of the same formula is 0.0 meV per atom.

Entry from Alexandria via LeMat-Bulk: a relaxed structure of Pr2SbPd (GGA-PBE).

Lattice parameters (Å, degrees): 3.9766 5.2361 5.2361 90.00 90.00 90.00
Last column: magnetic moment on the atom in μB.
Element x y z (fractional)
Pr  0.0000  0.0000  0.5000  0.09
Pr  0.0000  0.5000  0.0000  0.09
Sb  0.5000  0.5000  0.5000  -0.01
Pd  0.5000  0.0000  0.0000  0.03

Results
For the formation energy without anion corrections, the calculation gives -0.7823 eV per atom. The density of states at the Fermi level comes out at 0.891 states/eV per atom. As for the spin magnetization: 0.35 Bohr magnetons per cell. As for the space-group type: P4/mmm. The value obtained for the distance to the lowest polymorph of the same formula is 127.4 meV per atom.

Entry from Alexandria via LeMat-Bulk: a relaxed structure of PmYTmTl (GGA-PBE).

Lattice parameters (Å, degrees): 5.5002 5.5002 5.5002 60.00 60.00 60.00
Last column: magnetic moment on the atom in μB.
Element x y z (fractional)
Y  0.7500  0.7500  0.7500  0.23
Tl  0.5000  0.5000  0.5000  0.00
Tm  0.0000  0.0000  0.0000  0.36
Pm  0.2500  0.2500  0.2500  0.20

Results
The density of states at the Fermi level comes out at 1.327 states/eV per atom. As for the spin magnetization: 1.24 Bohr magnetons per cell. As for the space-group type: F-43m. Its formation enthalpy at 0 K is -0.0625 eV/atom. The value obtained for the distance to the lowest polymorph of the same formula is 121.6 meV per atom.

Entry from Alexandria via LeMat-Bulk: a relaxed structure of CeErTlOs (GGA-PBE).

Lattice parameters (Å, degrees): 5.1091 5.1091 5.1091 60.00 60.00 60.00
Last column: magnetic moment on the atom in μB.
Element x y z (fractional)
Tl  0.0000  0.0000  0.0000  0.01
Os  0.5000  0.5000  0.5000  -0.03
Ce  0.7500  0.7500  0.7500  0.40
Er  0.2500  0.2500  0.2500  0.02

Results
The density of states at the Fermi level comes out at 1.359 states/eV per atom. As for the spin magnetization: 0.47 Bohr magnetons per cell. As for the space-group type: F-43m. Its formation enthalpy at 0 K is -0.0764 eV/atom. The value obtained for the distance to the lowest polymorph of the same formula is 239.6 meV per atom.

Entry from Alexandria via LeMat-Bulk: a relaxed structure of Hf4MgPaN8 (GGA-PBE).

Lattice parameters (Å, degrees): 6.5176 6.5176 6.3796 59.28 59.28 60.00
Element x y z (fractional)
Hf  0.6241  0.6241  0.1278
Hf  0.0033  0.5028  0.4907
Hf  0.5028  0.0033  0.4907
Hf  0.0033  0.0033  0.4907
Mg  0.9985  0.9985  0.0046
Pa  0.3921  0.3921  0.8237
N  0.2342  0.7877  0.7438
N  0.7877  0.2342  0.7438
N  0.2342  0.2342  0.7438
N  0.2448  0.2448  0.2657
N  0.7412  0.2341  0.2835
N  0.2341  0.7412  0.2835
N  0.7412  0.7412  0.2835
N  0.7586  0.7586  0.7242

Results
For the formation energy without anion corrections, the calculation gives -1.3885 eV per atom. The density of states at the Fermi level comes out at 0.339 states/eV per atom. As for the spin magnetization: 0.00 Bohr magnetons per cell. As for the space-group type: R3m.

Entry from Alexandria via LeMat-Bulk: a relaxed structure of InPb2Cl (GGA-PBE).

Lattice parameters (Å, degrees): 6.5461 6.5461 5.7377 65.84 65.84 31.53
Element x y z (fractional)
Pb  0.0056  0.0056  0.9945
Pb  0.4944  0.4944  0.5055
Cl  0.7500  0.7500  0.7500
In  0.2500  0.2500  0.2500

Results
For the formation energy without anion corrections, the calculation gives -0.2344 eV per atom. The density of states at the Fermi level comes out at 0.567 states/eV per atom. As for the spin magnetization: 0.00 Bohr magnetons per cell. As for the space-group type: C2/m. The value obtained for the distance to the lowest polymorph of the same formula is 76.3 meV per atom.

- The highest spin magnetization belongs to which entry?
  Na3VNi